Computed, not measured: TiGaIr after structural relaxation at the GGA-PBE level of DFT.

Its formation energy is -664 meV/atom. The total energy comes out at -21.774 eV/cell.

The space group is P-6m2 (No. 187) and the conventional cell measures 4.3066, 4.3066 and 2.8630 Å, with angles of 90.00, 90.00 and 120.00 degrees. The distinct sites, in fractional coordinates, are Ti at (0.0000, 0.0000, 0.0000), Ga at (0.6667, 0.3333, 0.5000) and Ir at (0.3333, 0.6667, 0.5000).